Below is a relaxed BaSn2Au6 crystal, with properties calculated at the PBE level.

As for the size of the total moment: 0.0 μB per formula unit. The space-group type is Immm. The value obtained for the density of states at the Fermi level is 2.6 states/eV/f.u. The formation energy is -271 meV per atom.

abc: 4.1571 8.0472 8.0472
angles: 60.46 75.03 75.03
Positions (direct):
Au 0.5000 0.6714 0.3286
Au 0.6861 0.9939 0.6338
Au 0.3139 0.3662 0.0061
Au 0.5000 0.3286 0.6714
Au 0.3139 0.0061 0.3662
Au 0.6861 0.6338 0.9939
Sn 0.1345 0.3655 0.3655
Sn 0.8655 0.6345 0.6345
Ba 0.0000 0.0000 0.0000

***

Below is a relaxed PrCu4Rh2 crystal, with properties calculated at the PBE level.

As for the size of the total moment: 0.0 μB per formula unit. The space-group type is I4/mmm. The value obtained for the density of states at the Fermi level is 2.6 states/eV/f.u. The formation energy is 366 meV per atom. The calculation puts the energy above the most stable polymorph in this dataset at 0.5578 eV/atom.

abc: 5.7894 5.7894 5.7894
angles: 101.97 101.97 125.81
Positions (direct):
Pr 0.0000 0.0000 0.0000
Cu 0.5000 0.7220 0.2220
Cu 0.5000 0.2780 0.7780
Cu 0.2780 0.5000 0.7780
Cu 0.7220 0.5000 0.2220
Rh 0.2500 0.7500 0.5000
Rh 0.7500 0.2500 0.5000

***

Below is a relaxed NdEr5Sb6 crystal, with properties calculated at the PBE level.

As for the size of the total moment: 0.0 μB per formula unit. The space-group type is C2/m. The value obtained for the density of states at the Fermi level is 2.0 states/eV/f.u. The calculation puts the formation energy from raw total energies at -1.105 eV per atom.

abc: 7.5915 7.5915 7.5929
angles: 60.01 80.39 70.49
Positions (direct):
Sb 0.7454 0.4247 0.6605
Sb 0.2519 0.2560 0.0000
Sb 0.2546 0.5753 0.3395
Sb 0.7454 0.0852 0.3395
Sb 0.2546 0.9148 0.6605
Sb 0.7481 0.7440 0.0000
Er 0.5000 0.1638 0.6723
Er 0.0000 0.6676 0.6648
Er 0.5000 0.5000 0.0000
Er 0.5000 0.8362 0.3277
Er 0.0000 0.3324 0.3352
Nd 0.0000 0.0000 0.0000

***

Below is a relaxed Sc8GaPt2 crystal, with properties calculated at the PBE level.

As for the size of the total moment: 2.6 μB per formula unit. The space-group type is Immm. The value obtained for the density of states at the Fermi level is 11.4 states/eV/f.u. The formation energy is -556 meV per atom.

abc: 4.5642 7.2852 8.1584
angles: 116.52 106.24 90.00
Last column: magnetic moment on the atom in μB.
Positions (direct):
Sc 0.1400 0.1400 0.2801  0.39
Sc 0.6662 0.8862 0.3323  0.13
Sc 0.0000 0.3074 0.0000  0.28
Sc 0.0000 0.6926 0.0000  0.28
Sc 0.3338 0.5539 0.6677  0.13
Sc 0.6662 0.4461 0.3323  0.13
Sc 0.3338 0.1138 0.6677  0.13
Sc 0.8600 0.8600 0.7199  0.39
Ga 0.5000 0.0000 0.0000  -0.03
Pt 0.1841 0.6841 0.3682  0.02
Pt 0.8159 0.3159 0.6318  0.02

***

Below is a relaxed Y2Ge3Rh crystal, with properties calculated at the PBE level.

As for the size of the total moment: 0.0 μB per formula unit. The space-group type is Cm. The value obtained for the density of states at the Fermi level is 3.4 states/eV/f.u. The formation energy is -781 meV per atom.

abc: 4.3589 5.6741 5.7651
angles: 74.90 67.79 67.41
Positions (direct):
Ge 0.1660 0.7600 0.9080
Ge 0.8692 0.6009 0.6608
Ge 0.8119 0.2476 0.1286
Rh 0.1677 0.3903 0.2742
Y 0.4374 0.8114 0.3138
Y 0.5478 0.1899 0.7146

***

Below is a relaxed LaSm3Pt8 crystal, with properties calculated at the PBE level.

As for the size of the total moment: 0.0 μB per formula unit. The space-group type is P3m1. The value obtained for the density of states at the Fermi level is 4.9 states/eV/f.u. The formation energy is -1027 meV per atom.

abc: 5.5125 5.5125 9.0378
angles: 90.00 90.00 120.00
Positions (direct):
Pt 0.6696 0.8348 0.2482
Pt 0.3333 0.6667 0.4998
Pt 0.5020 0.4980 0.7520
Pt 0.3333 0.6667 0.9993
Pt 0.1652 0.3304 0.2482
Pt 0.9959 0.4980 0.7520
Pt 0.1652 0.8348 0.2482
Pt 0.5020 0.0041 0.7520
Sm 0.6667 0.3333 0.4310
Sm 0.0000 0.0000 0.9388
Sm 0.6667 0.3333 0.0636
La 0.0000 0.0000 0.5668

***

Below is a relaxed La4Sm2Mg crystal, with properties calculated at the PBE level.

As for the size of the total moment: 0.0 μB per formula unit. The space-group type is Cc. The value obtained for the density of states at the Fermi level is 11.2 states/eV/f.u. The formation energy is 127 meV per atom. The calculation puts the energy above the most stable polymorph in this dataset at 0.0000 eV/atom.

abc: 7.3335 7.3347 9.2446
angles: 89.46 89.46 102.50
Positions (direct):
Mg 0.8292 0.1712 0.0000
Mg 0.4212 0.5793 0.5000
La 0.3619 0.0441 0.5279
La 0.4236 0.7965 0.8421
La 0.8877 0.7051 0.9722
La 0.8265 0.9544 0.6575
La 0.2942 0.1119 0.0280
La 0.0466 0.1737 0.3421
La 0.9550 0.6377 0.4722
La 0.2043 0.5764 0.1575
Sm 0.1250 0.3754 0.7497
Sm 0.6251 0.3743 0.2506
Sm 0.6243 0.3751 0.7506
Sm 0.6254 0.8750 0.2497

***

Below is a relaxed Ta2Co3Pd2 crystal, with properties calculated at the PBE level.

As for the size of the total moment: 1.2 μB per formula unit. The space-group type is C2/m. The value obtained for the density of states at the Fermi level is 6.1 states/eV/f.u. The formation energy is -133 meV per atom.

abc: 4.2390 4.2334 6.9673
angles: 90.00 107.73 119.93
Last column: magnetic moment on the atom in μB.
Positions (direct):
Co 0.0000 0.0000 0.0000  0.99
Co 0.5274 0.2636 0.7900  0.12
Co 0.4726 0.7364 0.2100  0.12
Pd 0.7359 0.8677 0.6033  0.06
Pd 0.2641 0.1323 0.3967  0.06
Ta 0.2201 0.6100 0.8300  -0.03
Ta 0.7799 0.3900 0.1700  -0.03

***

Below is a relaxed Pr8Zn2Ir crystal, with properties calculated at the PBE level.

As for the size of the total moment: 0.0 μB per formula unit. The space-group type is C2/m. The value obtained for the density of states at the Fermi level is 10.3 states/eV/f.u. The formation energy is -213 meV per atom.

abc: 5.2646 6.9247 9.5645
angles: 100.27 105.97 90.00
Positions (direct):
Pr 0.7982 0.6810 0.5964
Pr 0.5889 0.4330 0.1779
Pr 0.4111 0.5670 0.8221
Pr 0.0280 0.7823 0.0560
Pr 0.2018 0.3190 0.4036
Pr 0.6563 0.9578 0.3126
Pr 0.3437 0.0422 0.6874
Pr 0.9720 0.2177 0.9440
Zn 0.8054 0.2536 0.6108
Zn 0.1946 0.7464 0.3892
Ir 0.5000 0.0000 0.0000

***

Below is a relaxed TbTmCuAg crystal, with properties calculated at the PBE level.

As for the size of the total moment: 0.0 μB per formula unit. The space-group type is F-43m. The value obtained for the density of states at the Fermi level is 2.4 states/eV/f.u. The formation energy is -272 meV per atom. The calculation puts the energy above the most stable polymorph in this dataset at 0.0200 eV/atom.

abc: 5.0157 5.0157 5.0157
angles: 60.00 60.00 60.00
Positions (direct):
Tm 0.5000 0.5000 0.5000
Tb 0.0000 0.0000 0.0000
Ag 0.7500 0.7500 0.7500
Cu 0.2500 0.2500 0.2500

***

Below is a relaxed Nb2NiRh crystal, with properties calculated at the PBE level.

As for the size of the total moment: 0.0 μB per formula unit. The space-group type is P4/mmm. The value obtained for the density of states at the Fermi level is 4.7 states/eV/f.u. The formation energy is -264 meV per atom.

abc: 2.8300 2.8300 7.6420
angles: 90.00 90.00 90.00
Positions (direct):
Rh 0.5000 0.5000 0.5000
Ni 0.5000 0.5000 0.0000
Nb 0.0000 0.0000 0.2427
Nb 0.0000 0.0000 0.7573

***

Below is a relaxed CrAgSe2 crystal, with properties calculated at the PBE level.

As for the size of the total moment: 3.2 μB per formula unit. The space-group type is Cmmm. The value obtained for the density of states at the Fermi level is 2.7 states/eV/f.u. The calculation puts the formation energy from raw total energies at 0.049 eV per atom.

abc: 3.4339 3.4339 7.4034
angles: 90.00 90.00 111.41
Last column: magnetic moment on the atom in μB.
Positions (direct):
Se 0.0000 0.0000 0.9724  -0.18
Se 0.0000 0.0000 0.5276  -0.18
Ag 0.5000 0.5000 0.2500  -0.01
Cr 0.5000 0.5000 0.7500  3.33

***

Below is a relaxed NbCo crystal, with properties calculated at the PBE level.

As for the size of the total moment: 0.8 μB per formula unit. The space-group type is I4/m. The value obtained for the density of states at the Fermi level is 2.5 states/eV/f.u. The formation energy is 320 meV per atom.

abc: 9.4979 9.4979 2.6745
angles: 90.00 90.00 90.00
Last column: magnetic moment on the atom in μB.
Positions (direct):
Co 0.9191 0.3702 0.5000  0.80
Co 0.1298 0.4191 0.0000  0.80
Co 0.3702 0.0809 0.5000  0.80
Co 0.8702 0.5809 0.0000  0.80
Co 0.6298 0.9191 0.5000  0.80
Co 0.0809 0.6298 0.5000  0.80
Co 0.5809 0.1298 0.0000  0.80
Co 0.4191 0.8702 0.0000  0.80
Nb 0.6742 0.3770 0.0000  0.03
Nb 0.6230 0.6742 0.0000  0.03
Nb 0.1230 0.1742 0.5000  0.03
Nb 0.8770 0.8258 0.5000  0.03
Nb 0.3770 0.3258 0.0000  0.03
Nb 0.3258 0.6230 0.0000  0.03
Nb 0.8258 0.1230 0.5000  0.03
Nb 0.1742 0.8770 0.5000  0.03

***

Below is a relaxed LiYB2 crystal, with properties calculated at the PBE level.

As for the size of the total moment: 0.0 μB per formula unit. The space-group type is I4_1/amd. The value obtained for the density of states at the Fermi level is 1.5 states/eV/f.u. The formation energy is 237 meV per atom. The calculation puts the energy above the most stable polymorph in this dataset at 0.0000 eV/atom.

abc: 3.7567 3.7567 7.7587
angles: 75.99 75.99 90.00
Positions (direct):
Y 0.7500 0.2500 0.5000
Y 0.0000 0.0000 0.0000
B 0.3752 0.6250 0.2500
B 0.8750 0.6248 0.7500
B 0.3750 0.6252 0.7500
B 0.3748 0.1250 0.2500
Li 0.5000 0.5000 0.0000
Li 0.2500 0.7500 0.5000

***

Below is a relaxed Sr2IrAu crystal, with properties calculated at the PBE level.

As for the size of the total moment: 0.0 μB per formula unit. The space-group type is I-4m2. The value obtained for the density of states at the Fermi level is 1.2 states/eV/f.u. The formation energy is -135 meV per atom.

abc: 5.9354 5.9354 5.9354
angles: 135.88 135.88 64.17
Positions (direct):
Au 0.5000 0.5000 0.0000
Sr 0.2500 0.7500 0.5000
Sr 0.0000 0.0000 0.0000
Ir 0.7500 0.2500 0.5000

***

Below is a relaxed KLi2Mg crystal, with properties calculated at the PBE level.

As for the size of the total moment: 0.0 μB per formula unit. The space-group type is Pmmm. The value obtained for the density of states at the Fermi level is 2.2 states/eV/f.u. The formation energy is 234 meV per atom.

abc: 3.7945 5.9491 5.5897
angles: 90.00 90.00 90.00
Positions (direct):
Li 0.0000 0.0000 0.0000
Li 0.5000 0.5000 0.0000
Mg 0.5000 0.0000 0.5000
K 0.0000 0.5000 0.5000

***

Below is a relaxed Rb2ZrSO crystal, with properties calculated at the PBE level.

As for the size of the total moment: 2.0 μB per formula unit. The space-group type is P4/mmm. The value obtained for the density of states at the Fermi level is 1.8 states/eV/f.u. The calculation puts the formation energy from raw total energies at -0.785 eV per atom.

abc: 5.7551 5.7551 4.2198
angles: 90.00 90.00 90.00
Last column: magnetic moment on the atom in μB.
Positions (direct):
Rb 0.5000 0.0000 0.0000  0.03
Rb 0.0000 0.5000 0.0000  0.03
O 0.0000 0.0000 0.0000  -0.05
Zr 0.0000 0.0000 0.5000  1.15
S 0.5000 0.5000 0.5000  -0.05

***

Below is a relaxed Ge4IrPt2 crystal, with properties calculated at the PBE level.

As for the size of the total moment: 0.0 μB per formula unit. The space-group type is C2/m. The value obtained for the density of states at the Fermi level is 1.7 states/eV/f.u. The formation energy is -374 meV per atom. The calculation puts the energy above the most stable polymorph in this dataset at 0.0089 eV/atom.

abc: 3.8100 6.0833 6.3970
angles: 112.55 107.33 90.00
Positions (direct):
Pt 0.2566 0.3116 0.5131
Pt 0.7434 0.6884 0.4869
Ge 0.4099 0.7194 0.8198
Ge 0.8430 0.1631 0.6860
Ge 0.5901 0.2806 0.1802
Ge 0.1570 0.8369 0.3140
Ir 0.0000 0.0000 0.0000

***

Below is a relaxed Tb2CeZr3N6 crystal, with properties calculated at the PBE level.

As for the size of the total moment: 0.0 μB per formula unit. The space-group type is C2/m. The value obtained for the density of states at the Fermi level is 5.1 states/eV/f.u. The calculation puts the formation energy from raw total energies at -1.682 eV per atom.

abc: 5.8238 5.8238 5.9095
angles: 99.43 99.43 120.06
Positions (direct):
Zr 0.5000 0.5000 0.5000
Zr 0.1675 0.8325 0.5000
Zr 0.8325 0.1675 0.5000
N 0.0904 0.4236 0.2710
N 0.4236 0.0904 0.2710
N 0.5764 0.9096 0.7290
N 0.7566 0.7566 0.2688
N 0.9096 0.5764 0.7290
N 0.2434 0.2434 0.7312
Tb 0.6667 0.3333 0.0000
Tb 0.3333 0.6667 0.0000
Ce 0.0000 0.0000 0.0000

***

Below is a relaxed LaOs2Pb crystal, with properties calculated at the PBE level.

As for the size of the total moment: 0.0 μB per formula unit. The space-group type is P4mm. The value obtained for the density of states at the Fermi level is 3.6 states/eV/f.u. The formation energy is 344 meV per atom.

abc: 3.0740 3.0740 8.9849
angles: 90.00 90.00 90.00
Positions (direct):
Pb 0.0000 0.0000 0.4484
La 0.5000 0.5000 0.7890
Os 0.5000 0.5000 0.2135
Os 0.0000 0.0000 0.0491

***

Below is a relaxed Mn2IrSe crystal, with properties calculated at the PBE level.

As for the size of the total moment: 8.2 μB per formula unit. The space-group type is P4/mmm. The value obtained for the density of states at the Fermi level is 3.6 states/eV/f.u. The calculation puts the formation energy from raw total energies at 0.093 eV per atom.

abc: 3.2212 3.2212 5.8821
angles: 90.00 90.00 90.00
Last column: magnetic moment on the atom in μB.
Positions (direct):
Se 0.5000 0.5000 0.2500  -0.04
Ir 0.5000 0.5000 0.7500  0.74
Mn 0.0000 0.0000 0.9984  3.57
Mn 0.0000 0.0000 0.5016  3.57

***

Below is a relaxed Tb5SmY crystal, with properties calculated at the PBE level.

As for the size of the total moment: 0.0 μB per formula unit. The space-group type is Immm. The value obtained for the density of states at the Fermi level is 9.7 states/eV/f.u. The formation energy is 1080 meV per atom. The calculation puts the energy above the most stable polymorph in this dataset at 0.9008 eV/atom.

abc: 5.8042 7.9234 7.9234
angles: 66.05 68.51 68.51
Positions (direct):
Tb 0.5000 0.1781 0.8219
Tb 0.5000 0.8219 0.1781
Tb 0.7452 0.2548 0.2548
Tb 0.2548 0.7452 0.7452
Tb 0.0000 0.5000 0.5000
Y 0.0000 0.0000 0.0000
Sm 0.5000 0.5000 0.5000

***

Below is a relaxed Pr4HoEr2Tm2 crystal, with properties calculated at the PBE level.

As for the size of the total moment: 0.0 μB per formula unit. The space-group type is C2/m. The value obtained for the density of states at the Fermi level is 13.7 states/eV/f.u. The formation energy is 26 meV per atom.

abc: 5.0797 8.0533 8.0398
angles: 107.38 90.00 108.38
Positions (direct):
Pr 0.2231 0.4462 0.3309
Pr 0.7769 0.5538 0.6691
Pr 0.4468 0.8935 0.6704
Pr 0.5532 0.1065 0.3296
Er 0.1116 0.2231 0.6709
Er 0.8884 0.7769 0.3291
Tm 0.3323 0.6646 0.0004
Tm 0.6677 0.3354 0.9996
Ho 0.0000 0.0000 0.0000

***

Below is a relaxed SiNiAsP crystal, with properties calculated at the PBE level.

As for the size of the total moment: 0.0 μB per formula unit. The space-group type is Cm. The value obtained for the density of states at the Fermi level is 1.5 states/eV/f.u. The calculation puts the formation energy from raw total energies at -0.068 eV per atom. The calculation puts the energy above the most stable polymorph in this dataset at 0.1096 eV/atom.

abc: 3.6391 4.0765 4.6610
angles: 98.23 89.98 116.56
Positions (direct):
As 0.9530 0.5786 0.1564
Ni 0.6666 0.0057 0.3418
Si 0.5749 0.8215 0.8263
P 0.2535 0.1789 0.6279